# 1
Entry from Alexandria: a relaxed Ca3DyPb2O crystal (PBE).

Structure (POSCAR):
```
Ca3DyPb2O
1.0
4.709 0.000 0.000
0.000 4.748 0.000
0.000 0.000 16.909
Ca Dy Pb O
6 2 4 2
Direct
0.000 0.000 0.000
0.000 0.500 0.331
0.000 0.500 0.669
0.500 0.000 0.169
0.500 0.000 0.831
0.500 0.500 0.500
0.000 0.000 0.500
0.500 0.500 0.000
0.000 0.500 0.136
0.000 0.500 0.864
0.500 0.000 0.364
0.500 0.000 0.636
0.000 0.500 0.500
0.500 0.000 0.000
```

Calculated density ... 6.3 g/cm3
Raw total energy ... -4.51 eV/atom
Uncorrected formation energy ... -825 kJ/mol of formula units
Calculated volume ... 378.04 Å³/cell



# 2
Entry from Alexandria: a relaxed ZrCoSi crystal (PBE).

Structure (POSCAR):
```
ZrCoSi
1.0
7.933 0.000 0.000
0.000 2.548 4.296
0.000 -2.548 4.296
Zr Co Si
4 4 4
Direct
0.181 0.000 0.000
0.296 0.329 0.329
0.704 0.329 0.329
0.819 0.000 0.000
0.000 0.010 0.514
0.000 0.514 0.010
0.270 0.658 0.658
0.730 0.658 0.658
0.000 0.520 0.520
0.500 0.324 0.835
0.500 0.832 0.832
0.500 0.835 0.324
```

Calculated density ... 6.8 g/cm3
Raw total energy ... -7.63 eV/atom
Uncorrected formation energy ... -175 kJ/mol of formula units
Calculated volume ... 173.65 Å³/cell



Please write out number 1 again, unchanged.
Entry from Alexandria: a relaxed Ca3DyPb2O crystal (PBE).

Structure (POSCAR):
```
Ca3DyPb2O
1.0
4.709 0.000 0.000
0.000 4.748 0.000
0.000 0.000 16.909
Ca Dy Pb O
6 2 4 2
Direct
0.000 0.000 0.000
0.000 0.500 0.331
0.000 0.500 0.669
0.500 0.000 0.169
0.500 0.000 0.831
0.500 0.500 0.500
0.000 0.000 0.500
0.500 0.500 0.000
0.000 0.500 0.136
0.000 0.500 0.864
0.500 0.000 0.364
0.500 0.000 0.636
0.000 0.500 0.500
0.500 0.000 0.000
```

Calculated density ... 6.3 g/cm3
Raw total energy ... -4.51 eV/atom
Uncorrected formation energy ... -825 kJ/mol of formula units
Calculated volume ... 378.04 Å³/cell